Record 1
A PBEsol-optimized structure of Na6SbO5, computed with meta-GGA SCAN.

Cell lengths 10.703, 5.665, 10.866 Å; angles 90.00, 90.00, 90.00 degrees
Space group Cmcm (No. 63)
Asymmetric unit:
Na: 0.000 0.193 0.059
Na: 0.203 0.136 0.250
Na: 0.223 0.500 0.000
Sb: 0.000 0.277 0.750
O: 0.000 0.371 0.250
O: 0.136 0.202 0.617

E_form (uncorrected) ... -18.2 eV per formula unit
Total magnetic moment ... 0.000 μB/atom

---

Record 2
A PBEsol-optimized structure of ZrAl8Fe4, computed with meta-GGA SCAN.

Cell lengths 8.501, 8.501, 4.931 Å; angles 90.00, 90.00, 90.00 degrees
Space group I4/mmm (No. 139)
Asymmetric unit:
Zr: 0.000 0.000 0.000
Al: 0.000 0.217 0.500
Al: 0.000 0.337 0.000
Fe: 0.250 0.250 0.250

Total magnetic moment ... 0.458 μB/atom
Uncorrected energy ... -171.4 eV per formula unit

---

Record 3
A PBEsol-optimized structure of FeCu2Se, computed with meta-GGA SCAN.

Cell lengths 3.511, 3.511, 8.290 Å; angles 90.00, 90.00, 90.00 degrees
Space group I4/mmm (No. 139)
Asymmetric unit:
Fe: 0.000 0.000 0.000
Cu: 0.000 0.500 0.250
Se: 0.000 0.000 0.500

E_form (uncorrected) ... 1.2 eV per formula unit
Total magnetic moment ... 0.704 μB/atom

---

What is the total magnetic moment in the third record? 0.704 μB/atom

---

total magnetic moment of number 1 (Na6SbO5)? 0.000 μB/atom

---

Which of these has the highest total magnetic moment? FeCu2Se